Compound: Ca2TaMnN4
Source: Alexandria
Functional: PBE
Structure: optimized geometry

Structure (CIF):
```
data_Ca2TaMnN4
_chemical_formula_sum 'Ca2 Ta1 Mn1 N4'
_cell_length_a 5.4204
_cell_length_b 3.1730
_cell_length_c 5.7641
_cell_angle_alpha 90.00
_cell_angle_beta 108.51
_cell_angle_gamma 90.00
_symmetry_space_group_name_H-M 'P 1 2/m 1'
_symmetry_Int_Tables_number 10
_symmetry_space_group_name_Hall '-P 2y'
loop_
_atom_site_label
_atom_site_type_symbol
_atom_site_fract_x
_atom_site_fract_y
_atom_site_fract_z
_atom_site_occupancy
Ca1 Ca 0.0000 0.0000 0.0000 1
Ca2 Ca 0.5000 0.5000 0.0000 1
Ta1 Ta 0.0000 0.5000 0.5000 1
Mn1 Mn 0.5000 0.0000 0.5000 1
N1 N 0.2368 0.0000 0.7091 1
N2 N 0.2642 0.5000 0.2956 1
```

Results
**Formation energy without anion corrections**: -0.918 eV per atom